# PuMg2Al9, relaxed, DFT PBE
# N(E_F): 1.005 states/eV/atom
# energy of formation from the pure elements: -0.08 eV/atom
data_PuMg2Al9
_cell_length_a 5.4365
_cell_length_b 5.4365
_cell_length_c 26.4520
_cell_angle_alpha 90.00
_cell_angle_beta 90.00
_cell_angle_gamma 120.00
_symmetry_space_group_name_H-M 'R -3 m'
_symmetry_Int_Tables_number 166
_symmetry_space_group_name_Hall '-R 3 2"'
loop_
_atom_site_label
_atom_site_fract_x
_atom_site_fract_y
_atom_site_fract_z
Pu1 0.0000 0.0000 0.0000
Mg1 0.0000 0.0000 0.1429
Al1 0.0000 0.0000 0.3345
Al2 0.0000 0.0000 0.5000
Al3 0.0047 0.5024 0.9161

---

# Pm3Sn2Pt, relaxed, DFT PBE
# N(E_F): 0.700 states/eV/atom
# energy of formation from the pure elements: -0.75 eV/atom
# relative energy among the computed polymorphs: 81 kJ/mol of formula units
data_Pm3Sn2Pt
_cell_length_a 13.395
_cell_length_b 6.368
_cell_length_c 8.373
_cell_angle_alpha 90.00
_cell_angle_beta 108.50
_cell_angle_gamma 90.00
_symmetry_space_group_name_H-M 'C 1 2/c 1'
_symmetry_Int_Tables_number 15
_symmetry_space_group_name_Hall '-C 2yc'
loop_
_atom_site_label
_atom_site_fract_x
_atom_site_fract_y
_atom_site_fract_z
Pm1 0.000 0.177 0.250
Pm2 0.169 0.389 0.629
Sn1 0.151 0.126 0.008
Pt1 0.000 0.355 0.750

---

# NiH2Pd2, relaxed, DFT PBE
# N(E_F): 0.603 states/eV/atom
# relative energy among the computed polymorphs: 0 kJ/mol of formula units
data_NiH2Pd2
_cell_length_a 7.005
_cell_length_b 5.327
_cell_length_c 5.269
_cell_angle_alpha 90.00
_cell_angle_beta 103.27
_cell_angle_gamma 90.00
_symmetry_space_group_name_H-M 'P 1 21/c 1'
_symmetry_Int_Tables_number 14
_symmetry_space_group_name_Hall '-P 2ybc'
loop_
_atom_site_label
_atom_site_fract_x
_atom_site_fract_y
_atom_site_fract_z
Ni1 0.138 0.114 0.153
H1 0.038 0.124 0.822
H2 0.318 0.554 0.873
Pd1 0.185 0.609 0.158
Pd2 0.457 0.246 0.993

---

# LaZn2In, relaxed, DFT PBE
# N(E_F): 0.226 states/eV/atom
# energy of formation from the pure elements: -0.20 eV/atom
data_LaZn2In
_cell_length_a 4.556
_cell_length_b 5.272
_cell_length_c 8.114
_cell_angle_alpha 90.00
_cell_angle_beta 90.00
_cell_angle_gamma 90.00
_symmetry_space_group_name_H-M 'A m m 2'
_symmetry_Int_Tables_number 38
_symmetry_space_group_name_Hall 'A 2 -2'
loop_
_atom_site_label
_atom_site_fract_x
_atom_site_fract_y
_atom_site_fract_z
La1 0.000 0.000 0.000
Zn1 0.000 0.000 0.377
Zn2 0.500 0.000 0.271
In1 0.500 0.000 0.630

---

# Li5TlBi3, relaxed, DFT PBE
# N(E_F): 0.516 states/eV/atom
# energy of formation from the pure elements: -0.26 eV/atom
data_Li5TlBi3
_cell_length_a 7.310
_cell_length_b 7.310
_cell_length_c 8.278
_cell_angle_alpha 90.00
_cell_angle_beta 90.00
_cell_angle_gamma 90.00
_symmetry_space_group_name_H-M 'P 4/m b m'
_symmetry_Int_Tables_number 127
_symmetry_space_group_name_Hall '-P 4 2ab'
loop_
_atom_site_label
_atom_site_fract_x
_atom_site_fract_y
_atom_site_fract_z
Li1 0.000 0.000 0.000
Li2 0.220 0.280 0.290
Tl1 0.000 0.500 0.500
Bi1 0.000 0.000 0.500
Bi2 0.144 0.644 0.000

---

# ZrTl2Fe, relaxed, DFT PBE
# N(E_F): 0.917 states/eV/atom
# energy of formation from the pure elements: 0.36 eV/atom
# relative energy among the computed polymorphs: 66 kJ/mol of formula units
data_ZrTl2Fe
_cell_length_a 4.410
_cell_length_b 4.410
_cell_length_c 8.642
_cell_angle_alpha 90.00
_cell_angle_beta 90.00
_cell_angle_gamma 90.00
_symmetry_space_group_name_H-M 'I 4/m m m'
_symmetry_Int_Tables_number 139
_symmetry_space_group_name_Hall '-I 4 2'
loop_
_atom_site_label
_atom_site_fract_x
_atom_site_fract_y
_atom_site_fract_z
Zr1 0.000 0.000 0.000
Tl1 0.000 0.500 0.250
Fe1 0.000 0.000 0.500

---

# ScHgIr3, relaxed, DFT PBE
# N(E_F): 1.195 states/eV/atom
# energy of formation from the pure elements: 1.72 eV/atom
# relative energy among the computed polymorphs: 149 kJ/mol of formula units
data_ScHgIr3
_cell_length_a 4.891
_cell_length_b 4.891
_cell_length_c 4.891
_cell_angle_alpha 90.00
_cell_angle_beta 90.00
_cell_angle_gamma 90.00
_symmetry_space_group_name_H-M 'P m -3 m'
_symmetry_Int_Tables_number 221
_symmetry_space_group_name_Hall '-P 4 2 3'
loop_
_atom_site_label
_atom_site_fract_x
_atom_site_fract_y
_atom_site_fract_z
Sc1 0.000 0.000 0.000
Hg1 0.500 0.500 0.500
Ir1 0.000 0.500 0.500

---

# TbSmCu2, relaxed, DFT PBE
# N(E_F): 0.520 states/eV/atom
# energy of formation from the pure elements: -0.21 eV/atom
# relative energy among the computed polymorphs: 5 kJ/mol of formula units
data_TbSmCu2
_cell_length_a 3.509
_cell_length_b 3.509
_cell_length_c 7.039
_cell_angle_alpha 90.00
_cell_angle_beta 90.00
_cell_angle_gamma 90.00
_symmetry_space_group_name_H-M 'P 4/m m m'
_symmetry_Int_Tables_number 123
_symmetry_space_group_name_Hall '-P 4 2'
loop_
_atom_site_label
_atom_site_fract_x
_atom_site_fract_y
_atom_site_fract_z
Tb1 0.000 0.000 0.000
Sm1 0.000 0.000 0.500
Cu1 0.500 0.500 0.240

---

# Rb3BW, relaxed, DFT PBE
# N(E_F): 0.958 states/eV/atom
# energy of formation from the pure elements: 2.05 eV/atom
# relative energy among the computed polymorphs: 0 kJ/mol of formula units
data_Rb3BW
_cell_length_a 6.208
_cell_length_b 6.208
_cell_length_c 6.208
_cell_angle_alpha 90.00
_cell_angle_beta 90.00
_cell_angle_gamma 90.00
_symmetry_space_group_name_H-M 'P m -3 m'
_symmetry_Int_Tables_number 221
_symmetry_space_group_name_Hall '-P 4 2 3'
loop_
_atom_site_label
_atom_site_fract_x
_atom_site_fract_y
_atom_site_fract_z
Rb1 0.000 0.000 0.500
B1 0.000 0.000 0.000
W1 0.500 0.500 0.500

---

# Mg2TaAg, relaxed, DFT PBE
# N(E_F): 0.812 states/eV/atom
# energy of formation from the pure elements: 0.44 eV/atom
# relative energy among the computed polymorphs: 145 kJ/mol of formula units
data_Mg2TaAg
_cell_length_a 6.714
_cell_length_b 6.714
_cell_length_c 6.714
_cell_angle_alpha 90.00
_cell_angle_beta 90.00
_cell_angle_gamma 90.00
_symmetry_space_group_name_H-M 'F -4 3 m'
_symmetry_Int_Tables_number 216
_symmetry_space_group_name_Hall 'F -4 2 3'
loop_
_atom_site_label
_atom_site_fract_x
_atom_site_fract_y
_atom_site_fract_z
Mg1 0.000 0.000 0.000
Mg2 0.250 0.250 0.250
Ta1 0.250 0.250 0.750
Ag1 0.000 0.000 0.500

---

# Pu2MgTl, relaxed, DFT PBE
# N(E_F): 3.843 states/eV/atom
# energy of formation from the pure elements: 0.30 eV/atom
data_Pu2MgTl
_cell_length_a 3.2634
_cell_length_b 3.2634
_cell_length_c 36.2735
_cell_angle_alpha 90.00
_cell_angle_beta 90.00
_cell_angle_gamma 120.00
_symmetry_space_group_name_H-M 'R -3 m'
_symmetry_Int_Tables_number 166
_symmetry_space_group_name_Hall '-R 3 2"'
loop_
_atom_site_label
_atom_site_fract_x
_atom_site_fract_y
_atom_site_fract_z
Pu1 0.0000 0.0000 0.0895
Mg1 0.0000 0.0000 0.0000
Tl1 0.0000 0.0000 0.5000

---

# ZrTiIO2, relaxed, DFT PBE
# N(E_F): 1.051 states/eV/atom
# relative energy among the computed polymorphs: 0 kJ/mol of formula units
# energy relative to the elements, uncorrected: -1.24 eV per atom
data_ZrTiIO2
_cell_length_a 4.116
_cell_length_b 4.116
_cell_length_c 6.155
_cell_angle_alpha 90.00
_cell_angle_beta 90.00
_cell_angle_gamma 90.00
_symmetry_space_group_name_H-M 'P 4/m m m'
_symmetry_Int_Tables_number 123
_symmetry_space_group_name_Hall '-P 4 2'
loop_
_atom_site_label
_atom_site_fract_x
_atom_site_fract_y
_atom_site_fract_z
Zr1 0.000 0.000 0.000
Ti1 0.500 0.500 0.500
I1 0.000 0.000 0.500
O1 0.000 0.500 0.000

---

# Pr2Ho8Tc, relaxed, DFT PBE
# N(E_F): 1.415 states/eV/atom
# energy of formation from the pure elements: 0.02 eV/atom
data_Pr2Ho8Tc
_cell_length_a 18.183
_cell_length_b 5.461
_cell_length_c 6.741
_cell_angle_alpha 90.00
_cell_angle_beta 94.59
_cell_angle_gamma 90.00
_symmetry_space_group_name_H-M 'C 1 2/m 1'
_symmetry_Int_Tables_number 12
_symmetry_space_group_name_Hall '-C 2y'
loop_
_atom_site_label
_atom_site_fract_x
_atom_site_fract_y
_atom_site_fract_z
Pr1 0.223 0.000 0.164
Ho1 0.030 0.000 0.268
Ho2 0.082 0.500 0.879
Ho3 0.141 0.500 0.386
Ho4 0.162 0.000 0.661
Tc1 0.000 0.500 0.500

---

# CePuN2, relaxed, DFT PBE
# N(E_F): 2.351 states/eV/atom
# energy relative to the elements, uncorrected: -1.31 eV per atom
data_CePuN2
_cell_length_a 3.5151
_cell_length_b 3.5151
_cell_length_c 11.7368
_cell_angle_alpha 90.00
_cell_angle_beta 90.00
_cell_angle_gamma 120.00
_symmetry_space_group_name_H-M 'P 63/m m c'
_symmetry_Int_Tables_number 194
_symmetry_space_group_name_Hall '-P 6c 2c'
loop_
_atom_site_label
_atom_site_fract_x
_atom_site_fract_y
_atom_site_fract_z
Ce1 0.0000 0.0000 0.0000
Pu1 0.3333 0.6667 0.2500
N1 0.3333 0.6667 0.6234

---

# LiS, relaxed, DFT PBE
# relative energy among the computed polymorphs: 12 kJ/mol of formula units
# energy relative to the elements, uncorrected: -0.84 eV per atom
data_LiS
_cell_length_a 4.024
_cell_length_b 4.768
_cell_length_c 4.253
_cell_angle_alpha 90.00
_cell_angle_beta 118.31
_cell_angle_gamma 90.00
_symmetry_space_group_name_H-M 'P 1 21/m 1'
_symmetry_Int_Tables_number 11
_symmetry_space_group_name_Hall '-P 2yb'
loop_
_atom_site_label
_atom_site_fract_x
_atom_site_fract_y
_atom_site_fract_z
Li1 0.138 0.250 0.277
S1 0.461 0.250 0.924

---

# Mn3Se, relaxed, DFT PBE
# N(E_F): 0.968 states/eV/atom
# relative energy among the computed polymorphs: 0 kJ/mol of formula units
# energy relative to the elements, uncorrected: 0.10 eV per atom
data_Mn3Se
_cell_length_a 5.167
_cell_length_b 7.317
_cell_length_c 5.815
_cell_angle_alpha 90.00
_cell_angle_beta 90.00
_cell_angle_gamma 90.00
_symmetry_space_group_name_H-M 'P n m a'
_symmetry_Int_Tables_number 62
_symmetry_space_group_name_Hall '-P 2ac 2n'
loop_
_atom_site_label
_atom_site_fract_x
_atom_site_fract_y
_atom_site_fract_z
Mn1 0.030 0.250 0.212
Mn2 0.243 0.557 0.079
Se1 0.155 0.750 0.414